Record 1
LiYSi: optimized geometry, PBE-GGA.

Cell: 4.3722 4.3722 21.2594 Å, 90.00 90.00 120.00°
Last column: nearest neighbours and their distance in Å.
Space group R3m (No. 160, hexagonal axes)
Unique sites:
Li 0.0000 0.0000 0.0000 (multiplicity 3)  4 Y 2.64-2.66, 3 Si 2.72, 1 Li 2.83
Li 0.0000 0.0000 0.1330 (multiplicity 3)  3 Si 2.55, 1 Li 2.83
Y 0.0000 0.0000 0.7033 (multiplicity 3)  3 Li 2.64
Y 0.0000 0.0000 0.8751 (multiplicity 3)  1 Li 2.66
Si 0.0000 0.0000 0.2854 (multiplicity 3)  3 Li 2.72, 3 Y 3.01
Si 0.0000 0.0000 0.4478 (multiplicity 3)  3 Li 2.55

## Properties
crystal system = trigonal
polymorph energy (0 for the lowest one) = 247 meV per atom

Record 2
Li2YSi: optimized geometry, PBE-GGA.

Cell: 3.0604 4.2544 6.0309 Å, 90.00 90.00 90.00°
Last column: nearest neighbours and their distance in Å.
Space group Pmmm (No. 47)
Unique sites:
Li 0.0000 0.0000 0.1974 (multiplicity 2)  1 Li 2.38
Y 0.5000 0.5000 0.5000 (multiplicity 1)  2 Si 3.02, 2 Y 3.06, 8 Li 3.19
Si 0.5000 0.5000 0.0000 (multiplicity 1)  8 Li 2.88, 2 Y 3.02, 2 Si 3.06

## Properties
crystal system = orthorhombic

Record 3
LiYSi: optimized geometry, PBE-GGA.

Cell: 4.4134 4.4134 8.9505 Å, 90.00 90.00 120.00°
Last column: nearest neighbours and their distance in Å.
Space group P-6m2 (No. 187)
Unique sites:
Li 0.0000 0.0000 0.0000 (multiplicity 1)  6 Y 3.29
Li 0.0000 0.0000 0.5000 (multiplicity 1)  6 Si 2.81
Y 0.6667 0.3333 0.2318 (multiplicity 2)  3 Si 2.82
Si 0.3333 0.6667 0.3676 (multiplicity 2)  1 Si 2.37

## Properties
crystal system = hexagonal
polymorph energy (0 for the lowest one) = 556 meV per atom

no.,uncorrected formation energy (meV per atom),magnetic moment (μB/cell),raw total energy (eV/f.u.)
1,-366,0.000,-14.9
2,-20,0.004,-15.8
3,-57,0.188,-14.0